[1]
Material: K2PuTlCl8
Method: DFT, PBE-GGA
State: optimized geometry

SG: P2/m (10)
Formation energy without anion corrections: -1.526 eV/atom
M_tot: 3.83 Bohr magnetons per cell
DFT total energy: -4.332 eV/atom

```
12
Lattice="6.726 0.000 0.000 0.000 9.363 0.000 -0.505 0.000 6.809" Properties=species:S:1:pos:R:3 pbc="T T T"
K 0.000 2.278 0.000
K 0.000 7.085 0.000
Pu 3.111 0.000 3.405
Tl 3.111 4.682 3.405
Cl 1.383 4.682 1.274
Cl 1.785 0.000 1.192
Cl 1.607 1.908 4.314
Cl 1.607 7.455 4.314
Cl 4.614 1.908 2.495
Cl 4.614 7.455 2.495
Cl 4.436 0.000 5.617
Cl 4.838 4.682 5.535
```


[2]
Material: Cd2InSnHg6
Method: DFT, PBE-GGA
State: optimized geometry

E_form: 0.031 eV per atom
SG: P1 (1)
M_tot: 0.00 Bohr magnetons per cell
DFT total energy: -1.007 eV/atom

```
10
Lattice="6.102 0.000 0.000 -2.408 5.815 0.000 -0.426 -3.470 7.307" Properties=species:S:1:pos:R:3 pbc="T T T"
Cd 0.000 0.000 0.000
Cd -0.194 1.819 2.758
In 2.159 3.616 4.412
Sn 4.478 -0.567 7.274
Hg 0.908 -1.095 2.822
Hg 1.580 -1.613 5.811
Hg 0.474 1.300 5.713
Hg 1.559 4.104 1.380
Hg 2.768 1.184 1.501
Hg 3.571 0.811 4.467
```


[3]
Material: RbIn12Sn6
Method: DFT, PBE-GGA
State: optimized geometry

E_form: 0.030 eV per atom
SG: R-3m (166)
M_tot: 0.00 Bohr magnetons per cell
DFT total energy: -3.014 eV/atom

```
19
Lattice="6.963 4.020 3.490 -6.963 4.020 3.490 0.000 -8.040 3.490" Properties=species:S:1:pos:R:3 pbc="T T T"
Rb 0.000 0.000 0.000
In -2.733 -4.733 5.236
In -5.465 0.000 5.236
In -1.664 -0.961 3.320
In 1.664 -0.961 3.320
In 0.000 1.921 3.320
In 2.733 -4.733 5.236
In -2.733 4.733 5.236
In 0.000 -1.921 7.151
In -1.664 0.961 7.151
In 1.664 0.961 7.151
In 5.465 0.000 5.236
In 2.733 4.733 5.236
Sn -3.106 -1.793 5.889
Sn 0.000 -3.586 4.582
Sn -3.106 1.793 4.582
Sn 3.106 -1.793 5.889
Sn 0.000 3.586 5.889
Sn 3.106 1.793 4.582
```


[4]
Material: U2NF
Method: DFT, PBE-GGA
State: optimized geometry

SG: P4/mmm (123)
Formation energy without anion corrections: -0.780 eV/atom
M_tot: 0.63 Bohr magnetons per cell
DFT total energy: -8.973 eV/atom

```
4
Lattice="3.119 0.000 0.000 0.000 3.119 0.000 0.000 0.000 6.361" Properties=species:S:1:pos:R:3 pbc="T T T"
U 0.000 0.000 1.186
U 0.000 0.000 5.175
N 1.559 1.559 0.000
F 1.559 1.559 3.181
```


[5]
Material: TmHfW4
Method: DFT, PBE-GGA
State: optimized geometry

E_form: -0.025 eV per atom
SG: F-43m (216)
M_tot: 0.00 Bohr magnetons per cell
DFT total energy: -11.064 eV/atom

```
6
Lattice="0.000 3.851 3.851 3.851 0.000 3.851 3.851 3.851 0.000" Properties=species:S:1:pos:R:3 pbc="T T T"
Tm 0.000 0.000 0.000
Hf 5.776 5.776 5.776
W 2.887 2.887 2.887
W 4.815 4.815 2.887
W 4.815 2.887 4.815
W 2.887 4.815 4.815
```


[6]
Material: SnBr2N2
Method: DFT, PBE-GGA
State: optimized geometry

SG: I4/mmm (139)
Formation energy without anion corrections: 1.739 eV/atom
M_tot: 0.00 Bohr magnetons per cell
DFT total energy: -3.060 eV/atom

```
10
Lattice="4.662 0.000 0.000 0.000 4.662 0.000 0.000 0.000 9.156" Properties=species:S:1:pos:R:3 pbc="T T T"
Sn 0.000 0.000 0.000
Sn 2.331 2.331 4.578
Br 0.000 0.000 2.787
Br 0.000 0.000 6.368
Br 2.331 2.331 1.790
Br 2.331 2.331 7.365
N 0.000 2.331 2.289
N 0.000 2.331 6.867
N 2.331 0.000 2.289
N 2.331 0.000 6.867
```


[7]
Material: ZrAlGaRe2
Method: DFT, PBE-GGA
State: optimized geometry

E_form: 2.005 eV per atom
SG: P4/mmm (123)
M_tot: 0.00 Bohr magnetons per cell
DFT total energy: -6.038 eV/atom

```
5
Lattice="4.816 0.000 0.000 0.000 4.816 0.000 0.000 0.000 5.011" Properties=species:S:1:pos:R:3 pbc="T T T"
Zr 0.000 0.000 0.000
Al 2.408 2.408 2.506
Ga 0.000 0.000 2.506
Re 0.000 2.408 0.000
Re 2.408 0.000 0.000
```


[8]
Material: Er4S3N
Method: DFT, PBE-GGA
State: optimized geometry

SG: Cmmm (65)
Formation energy without anion corrections: -1.880 eV/atom
M_tot: 0.00 Bohr magnetons per cell
DFT total energy: -6.750 eV/atom

```
16
Lattice="7.651 0.000 0.000 0.000 10.672 0.000 0.000 0.000 3.711" Properties=species:S:1:pos:R:3 pbc="T T T"
Er 0.000 2.437 0.000
Er 0.000 8.235 0.000
Er 1.652 0.000 1.855
Er 2.174 5.336 1.855
Er 3.826 2.899 0.000
Er 3.826 7.773 0.000
Er 5.478 5.336 1.855
Er 5.999 0.000 1.855
S 0.000 5.336 0.000
S 1.913 2.668 1.855
S 1.913 8.004 1.855
S 3.826 0.000 0.000
S 5.739 2.668 1.855
S 5.739 8.004 1.855
N 0.000 0.000 0.000
N 3.826 5.336 0.000
```


[9]
Material: BaLaFe
Method: DFT, PBE-GGA
State: optimized geometry

E_form: 0.389 eV per atom
SG: I4mm (107)
M_tot: 3.29 Bohr magnetons per cell
DFT total energy: -4.715 eV/atom

```
6
Lattice="3.737 0.000 0.000 0.000 3.737 0.000 0.000 0.000 14.201" Properties=species:S:1:pos:R:3 pbc="T T T"
Ba 0.000 0.000 0.000
Ba 1.869 1.869 7.101
La 0.000 0.000 3.569
La 1.869 1.869 10.669
Fe 0.000 0.000 9.295
Fe 1.869 1.869 2.195
```


[10]
Material: CeMgS3
Method: DFT, PBE-GGA
State: optimized geometry

SG: C2/m (12)
Formation energy without anion corrections: -1.349 eV/atom
M_tot: 0.14 Bohr magnetons per cell
DFT total energy: -5.331 eV/atom

```
10
Lattice="3.865 -5.454 0.000 3.865 5.454 0.000 -3.419 0.000 5.955" Properties=species:S:1:pos:R:3 pbc="T T T"
Ce 0.650 0.000 1.527
Ce 3.661 0.000 4.428
Mg 3.865 1.889 0.000
Mg 3.865 -1.889 0.000
S 2.537 3.804 1.043
S 1.774 3.804 4.912
S 0.959 0.000 4.239
S 3.352 0.000 1.716
S 2.537 -3.804 1.043
S 1.774 -3.804 4.912
```


[11]
Material: VSbH
Method: DFT, PBE-GGA
State: optimized geometry

SG: P4_2/m (84)
M_tot: 0.00 Bohr magnetons per cell
DFT total energy: -5.639 eV/atom

```
12
Lattice="7.203 0.000 0.000 0.000 7.203 0.000 0.000 0.000 3.296" Properties=species:S:1:pos:R:3 pbc="T T T"
V 0.956 1.259 0.000
V 1.259 6.247 1.648
V 5.944 0.956 1.648
V 6.247 5.944 0.000
Sb 1.404 4.079 0.000
Sb 3.124 1.404 1.648
Sb 4.079 5.799 1.648
Sb 5.799 3.124 0.000
H 0.343 1.718 1.648
H 1.718 6.860 0.000
H 5.485 0.343 0.000
H 6.860 5.485 1.648
```


[12]
Material: NdErZnAu
Method: DFT, PBE-GGA
State: optimized geometry

E_form: -0.580 eV per atom
SG: P4mm (99)
M_tot: 0.00 Bohr magnetons per cell
DFT total energy: -4.050 eV/atom

```
4
Lattice="3.628 0.000 0.000 0.000 3.628 0.000 0.000 0.000 7.244" Properties=species:S:1:pos:R:3 pbc="T T T"
Nd 0.000 0.000 0.000
Er 0.000 0.000 3.593
Zn 1.814 1.814 1.914
Au 1.814 1.814 5.193
```